(1)
{"formula": "NbPdSI", "functional": "PBE", "state": "relaxed", "space_group": "P1", "raw_formation_energy_ev_per_atom": -0.336, "relative_energy_ev_per_atom": 0.000, "lattice_angstrom": [[-0.6422, 3.1362, 1.4640], [1.1358, -3.1858, 3.0898], [7.0389, 0.7753, -2.7567]], "species": ["Nb", "Pd", "S", "I"], "frac_coords": [[0.3021, 0.3129, 0.7085], [0.9195, 0.6808, 0.5728], [0.5715, 0.0738, 0.4827], [0.9333, 0.2819, 0.0047]]}

---

(2)
{"formula": "Sn2SbP2", "functional": "PBE", "state": "relaxed", "space_group": "P4/mbm", "raw_formation_energy_ev_per_atom": 0.230, "lattice_angstrom": [[7.8160, 0.0000, 0.0000], [0.0000, 7.8160, 0.0000], [0.0000, 0.0000, 3.8801]], "species": ["Sn", "Sn", "Sn", "Sn", "Sb", "Sb", "P", "P", "P", "P"], "frac_coords": [[0.6453, 0.8547, 0.5000], [0.3547, 0.1453, 0.5000], [0.1453, 0.6453, 0.5000], [0.8547, 0.3547, 0.5000], [0.5000, 0.5000, 0.0000], [0.0000, 0.0000, 0.0000], [0.8192, 0.6808, 0.0000], [0.1808, 0.3192, 0.0000], [0.6808, 0.1808, 0.0000], [0.3192, 0.8192, 0.0000]]}

---

(3)
{"formula": "RbBiCl2", "functional": "PBE", "state": "relaxed", "space_group": "R-3m", "raw_formation_energy_ev_per_atom": -1.072, "relative_energy_ev_per_atom": 0.000, "lattice_angstrom": [[-3.0402, 4.8108, 8.2889], [0.2229, 6.9457, 7.2664], [-3.3240, 7.7220, 5.5149]], "species": ["Rb", "Bi", "Cl", "Cl"], "frac_coords": [[0.5000, 0.5000, 0.5000], [0.0000, 0.0000, 0.0000], [0.0929, 0.0929, 0.0929], [0.9071, 0.9071, 0.9071]]}

---

(4)
{"formula": "ZnNiIr2", "functional": "PBE", "state": "relaxed", "space_group": "F-43m", "ef_ev_per_atom": 0.14, "lattice_angstrom": [[4.2698, 0.0000, 0.0000], [2.1349, 3.6978, 0.0000], [2.1349, 1.2326, 3.4889]], "species": ["Zn", "Ir", "Ir", "Ni"], "frac_coords": [[0.7501, 0.7501, 0.7496], [0.0003, 0.0003, 0.9992], [0.2500, 0.2500, 0.2501], [0.4996, 0.4996, 0.5012]]}

---

(5)
{"formula": "La2ThPaN5", "functional": "PBE", "state": "relaxed", "space_group": "P4/mmm", "raw_formation_energy_ev_per_atom": -1.283, "lattice_angstrom": [[4.2313, 0.0000, 0.0000], [0.0000, 4.2313, 0.0000], [0.0000, 0.0000, 9.1753]], "species": ["Th", "N", "N", "N", "N", "N", "La", "La", "Pa"], "frac_coords": [[0.0000, 0.0000, 0.0000], [0.0000, 0.0000, 0.7605], [0.0000, 0.5000, 0.5000], [0.5000, 0.0000, 0.5000], [0.0000, 0.0000, 0.2395], [0.5000, 0.5000, 0.0000], [0.5000, 0.5000, 0.7210], [0.5000, 0.5000, 0.2790], [0.0000, 0.0000, 0.5000]]}

---

(6)
{"formula": "CaTm3P", "functional": "PBE", "state": "relaxed", "space_group": "Pm-3m", "ef_ev_per_atom": -0.41, "lattice_angstrom": [[5.3590, 0.0000, 0.0000], [0.0000, 5.3590, 0.0000], [0.0000, 0.0000, 5.3590]], "species": ["P", "Tm", "Tm", "Tm", "Ca"], "frac_coords": [[0.0000, 0.0000, 0.0000], [0.0000, 0.0000, 0.5000], [0.5000, 0.0000, 0.0000], [0.0000, 0.5000, 0.0000], [0.5000, 0.5000, 0.5000]]}

---

(7)
{"formula": "Y2ErThAs4", "functional": "PBE", "state": "relaxed", "space_group": "P2/m", "ef_ev_per_atom": -1.52, "lattice_angstrom": [[4.1580, 0.0000, 0.0000], [0.0000, 7.1834, -0.1424], [0.0000, 2.5276, 6.7192]], "species": ["As", "As", "As", "As", "Er", "Y", "Y", "Th"], "frac_coords": [[0.5000, 0.2501, 0.7459], [0.0000, 0.2461, 0.2560], [0.5000, 0.7499, 0.2541], [0.0000, 0.7539, 0.7440], [0.0000, 0.5000, 0.5000], [0.5000, 0.0000, 0.5000], [0.0000, 0.0000, 0.0000], [0.5000, 0.5000, 0.0000]]}

---

(8)
{"formula": "TbDyLuHg", "functional": "PBE", "state": "relaxed", "space_group": "F-43m", "ef_ev_per_atom": -0.07, "lattice_angstrom": [[-2.3521, -4.2578, -2.2919], [2.8543, -3.2559, -3.1885], [1.2393, -4.9665, 1.6468]], "species": ["Tb", "Hg", "Lu", "Dy"], "frac_coords": [[0.0000, 0.0000, 0.0000], [0.2500, 0.2500, 0.2500], [0.7500, 0.7500, 0.7500], [0.5000, 0.5000, 0.5000]]}

---

(9)
{"formula": "YPuPdO6", "functional": "PBE", "state": "relaxed", "space_group": "P-31c", "raw_formation_energy_ev_per_atom": -2.175, "lattice_angstrom": [[-4.8006, -1.6371, 1.6938], [4.0791, 0.3329, 3.4417], [-2.5175, 9.5172, 2.0632]], "species": ["O", "O", "O", "O", "O", "O", "O", "O", "O", "O", "O", "O", "Y", "Y", "Pd", "Pd", "Pu", "Pu"], "frac_coords": [[0.0036, 0.6543, 0.3645], [0.9964, 0.3457, 0.6355], [0.3457, 0.9964, 0.1355], [0.6543, 0.0036, 0.8645], [0.6507, 0.9964, 0.3645], [0.0036, 0.3493, 0.1355], [0.9964, 0.6507, 0.8645], [0.6543, 0.6507, 0.6355], [0.3457, 0.3493, 0.3645], [0.3493, 0.0036, 0.6355], [0.3493, 0.3457, 0.8645], [0.6507, 0.6543, 0.1355], [0.0000, 0.0000, 0.0000], [0.0000, 0.0000, 0.5000], [0.6667, 0.3333, 0.7500], [0.3333, 0.6667, 0.2500], [0.6667, 0.3333, 0.2500], [0.3333, 0.6667, 0.7500]]}

---

(10)
{"formula": "KZnFe", "functional": "PBE", "state": "relaxed", "space_group": "P3m1", "ef_ev_per_atom": 0.80, "relative_energy_ev_per_atom": 0.260, "lattice_angstrom": [[2.9803, 0.0000, 0.0000], [-1.4901, 2.5810, 0.0000], [0.0000, 0.0000, 7.8474]], "species": ["Fe", "Zn", "K"], "frac_coords": [[0.0000, 0.0000, 0.9606], [0.3333, 0.6667, 0.7096], [0.6667, 0.3333, 0.3299]]}

---

(11)
{"formula": "Ca2MnSb3Rh4", "functional": "PBE", "state": "relaxed", "space_group": "P-4m2", "raw_formation_energy_ev_per_atom": -0.620, "lattice_angstrom": [[4.2796, 0.0000, 0.0000], [0.0000, 4.2796, 0.0000], [0.0000, 0.0000, 11.2445]], "species": ["Rh", "Rh", "Rh", "Rh", "Sb", "Sb", "Sb", "Ca", "Ca", "Mn"], "frac_coords": [[0.5000, 0.0000, 0.6349], [0.0000, 0.5000, 0.3651], [0.0000, 0.0000, 0.0000], [0.5000, 0.5000, 0.0000], [0.5000, 0.0000, 0.8645], [0.0000, 0.0000, 0.5000], [0.0000, 0.5000, 0.1355], [0.0000, 0.5000, 0.7436], [0.5000, 0.0000, 0.2564], [0.5000, 0.5000, 0.5000]]}

---

(12)
{"formula": "Tb3SmPd3", "functional": "PBE", "state": "relaxed", "space_group": "C2/m", "ef_ev_per_atom": -0.67, "lattice_angstrom": [[6.9227, 1.1720, 0.3233], [-2.0348, 6.7199, 0.3233], [-0.3751, -0.6057, 7.0994]], "species": ["Sm", "Sm", "Pd", "Pd", "Pd", "Pd", "Pd", "Pd", "Tb", "Tb", "Tb", "Tb", "Tb", "Tb"], "frac_coords": [[0.7360, 0.7360, 0.8765], [0.2640, 0.2640, 0.1235], [0.0620, 0.0620, 0.8055], [0.9380, 0.9380, 0.1945], [0.5060, 0.0081, 0.2778], [0.9919, 0.4940, 0.7222], [0.4940, 0.9919, 0.7222], [0.0081, 0.5060, 0.2778], [0.3459, 0.3459, 0.6333], [0.7518, 0.2482, 0.0000], [0.8225, 0.1775, 0.5000], [0.1775, 0.8225, 0.5000], [0.6541, 0.6541, 0.3667], [0.2482, 0.7518, 0.0000]]}

---

Number 1: E_tot -5.571 eV per atom, total magnetization 0.0 Bohr magnetons per cell. Number 2: E_tot -4.360 eV per atom, total magnetization 0.0 Bohr magnetons per cell. Number 3: E_tot -3.207 eV per atom, total magnetization 0.0 Bohr magnetons per cell. Number 4: E_tot -6.058 eV per atom, total magnetization 0.0 Bohr magnetons per cell. Number 5: E_tot -8.883 eV per atom, total magnetization 0.0 Bohr magnetons per cell. Number 6: E_tot -4.577 eV per atom, total magnetization 0.0 Bohr magnetons per cell. Number 7: E_tot -6.958 eV per atom, total magnetization 0.0 Bohr magnetons per cell. Number 8: E_tot -3.580 eV per atom, total magnetization 0.0 Bohr magnetons per cell. Number 9: E_tot -8.368 eV per atom, total magnetization 6.0 Bohr magnetons per cell. Number 10: E_tot -2.810 eV per atom, total magnetization 2.6 Bohr magnetons per cell. Number 11: E_tot -6.114 eV per atom, total magnetization 3.8 Bohr magnetons per cell. Number 12: E_tot -5.553 eV per atom, total magnetization 0.0 Bohr magnetons per cell.